# Ti2NiPdAu2

A relaxed structure of Ti2NiPdAu2 (PBE, Alexandria).

Calculated values
M_tot = 0.0 μB/cell
E_form = -1.74 eV/f.u.

```
data_Ti2NiPdAu2
_space_group_name_H-M_alt 'C 1 2/m 1'
_space_group_IT_number 12
_cell_length_a 14.224
_cell_length_b 5.486
_cell_length_c 5.486
_cell_angle_alpha 90.00
_cell_angle_beta 112.53
_cell_angle_gamma 90.00
loop_
_space_group_symop_operation_xyz
'x,y,z'
'-x,-y,-z'
'-x,y,-z'
'x,-y,z'
'x+1/2,y+1/2,z'
'-x+1/2,-y+1/2,-z'
'-x+1/2,y+1/2,-z'
'x+1/2,-y+1/2,z'
loop_
_atom_site_label
_atom_site_fract_x
_atom_site_fract_y
_atom_site_fract_z
_atom_site_occupancy
Ti1 0.150 0.000 0.392 1
Ti2 0.150 0.500 0.905 1
Ni1 0.000 0.250 0.500 1
Pd1 0.000 0.250 0.000 1
Au1 0.148 0.000 0.878 1
Au2 0.148 0.500 0.417 1
```